(1)
Al2Cl after structural relaxation, computed with PBE.

Cell lengths 5.285, 5.285, 5.411 Å; angles 90.00, 90.00, 120.00 degrees
Element x y z (fractional)
Cl  0.333  0.667  0.250
Al  0.000  0.000  0.000
Al  0.667  0.333  0.250
Al  0.333  0.667  0.750
Cl  0.667  0.333  0.750
Al  0.000  0.000  0.500

VASP energy = -2.92 eV/atom
E_form (uncorrected) = 194 meV/atom
Crystal system = hexagonal
Distance to the lowest polymorph of the same formula = 1.93 eV/f.u.
N(E_F) = 3.353 states/eV per cell


(2)
YRe3 after structural relaxation, computed with PBE.

Cell lengths 5.708, 5.708, 4.452 Å; angles 90.00, 90.00, 107.74 degrees
Element x y z (fractional)
Re  0.881  0.119  0.750
Re  0.354  0.100  0.750
Y  0.622  0.378  0.250
Re  0.900  0.646  0.750
Re  0.119  0.881  0.250
Y  0.378  0.622  0.750
Re  0.100  0.354  0.250
Re  0.646  0.900  0.250

VASP energy = -10.59 eV/atom
Energy of formation from the pure elements = 0.3613 eV/atom
Crystal system = orthorhombic
Distance to the lowest polymorph of the same formula = 0.39 eV/f.u.
N(E_F) = 7.275 states/eV per cell


(3)
HfGeIN2 after structural relaxation, computed with PBE.

Cell lengths 4.012, 4.012, 5.237 Å; angles 90.00, 90.00, 90.00 degrees
Element x y z (fractional)
N  0.500  0.000  0.000
I  0.000  0.000  0.500
N  0.000  0.500  0.000
Hf  0.500  0.500  0.500
Ge  0.000  0.000  0.000

VASP energy = -5.21 eV/atom
E_form (uncorrected) = 1342 meV/atom
Crystal system = tetragonal
Distance to the lowest polymorph of the same formula = 4.36 eV/f.u.
N(E_F) = 3.896 states/eV per cell


(4)
LiMo4Cl after structural relaxation, computed with PBE.

Cell lengths 5.311, 5.311, 5.311 Å; angles 60.00, 60.00, 60.00 degrees
Element x y z (fractional)
Mo  0.378  0.866  0.378
Mo  0.378  0.378  0.866
Li  0.000  0.000  0.000
Mo  0.866  0.378  0.378
Cl  0.750  0.750  0.750
Mo  0.378  0.378  0.378

VASP energy = -6.95 eV/atom
E_form (uncorrected) = 898 meV/atom
Crystal system = cubic
N(E_F) = 3.577 states/eV per cell


(5)
GeSbAsAu after structural relaxation, computed with PBE.

Cell lengths 3.929, 3.937, 7.378 Å; angles 89.81, 90.00, 119.93 degrees
Element x y z (fractional)
Ge  0.038  0.075  0.156
Sb  0.046  0.092  0.530
Au  0.378  0.756  0.744
As  0.705  0.409  0.987

VASP energy = -4.03 eV/atom
E_form (uncorrected) = 140 meV/atom
Crystal system = monoclinic
N(E_F) = 2.106 states/eV per cell


(6)
KCa2Sb after structural relaxation, computed with PBE.

Cell lengths 4.063, 4.063, 10.204 Å; angles 90.00, 90.00, 89.89 degrees
Element x y z (fractional)
Ca  0.000  0.000  0.591
Sb  0.500  0.500  0.750
Ca  0.000  0.000  0.909
K  0.500  0.500  0.250

VASP energy = -2.70 eV/atom
E_form (uncorrected) = -396 meV/atom
Crystal system = orthorhombic
N(E_F) = 3.708 states/eV per cell


(7)
Pm5Tl3Hg after structural relaxation, computed with PBE.

Cell lengths 6.847, 9.544, 9.544 Å; angles 120.00, 90.00, 90.00 degrees
Element x y z (fractional)
Pm  0.000  0.667  0.333
Pm  0.750  0.714  0.714
Tl  0.750  0.374  0.374
Pm  0.250  0.000  0.714
Tl  0.250  0.374  0.000
Pm  0.500  0.333  0.667
Pm  0.500  0.667  0.333
Pm  0.000  0.333  0.667
Tl  0.250  0.626  0.626
Tl  0.250  0.000  0.374
Hg  0.500  0.000  0.000
Pm  0.250  0.714  0.000
Pm  0.750  0.000  0.286
Tl  0.750  0.626  0.000
Pm  0.750  0.286  0.000
Tl  0.750  0.000  0.626
Hg  0.000  0.000  0.000
Pm  0.250  0.286  0.286

VASP energy = -3.84 eV/atom
Energy of formation from the pure elements = -0.3764 eV/atom
Crystal system = hexagonal
N(E_F) = 15.432 states/eV per cell


(8)
Rb2HAuS after structural relaxation, computed with PBE.

Cell lengths 6.185, 6.185, 3.428 Å; angles 90.00, 90.00, 90.00 degrees
Element x y z (fractional)
Rb  0.500  0.000  0.000
S  0.000  0.000  0.500
Rb  0.000  0.500  0.000
H  0.000  0.000  0.000
Au  0.500  0.500  0.500

VASP energy = -2.94 eV/atom
Crystal system = tetragonal
N(E_F) = 1.637 states/eV per cell